# 1
The following is a PBE calculation of TaBN2O after structural relaxation, from Alexandria via LeMat-Bulk.

Computed properties:
- ΔE_f (raw): 631 meV/atom
- Magnetization: 0.380 μB per atom
- SG: P4/mmm, No. 123
- Energy: -7.397 eV/atom

Geometry as POSCAR:
```
TaBN2O
1.0
-2.3932 0.0349 -3.3470
-2.9612 -1.9403 2.0972
-1.4947 3.4756 1.1050
B N O Ta
1 2 1 1
direct
0.5000 0.5000 0.5000
0.0000 0.5000 0.0000
0.5000 0.0000 0.0000
0.0000 0.0000 0.5000
0.0000 0.0000 0.0000
```

***

# 2
The following is a PBE calculation of TaBNO2 after structural relaxation, from Alexandria via LeMat-Bulk.

Computed properties:
- ΔE_f (raw): -257 meV/atom
- Magnetization: 0.184 μB per atom
- SG: P4/mmm, No. 123
- Energy: -7.611 eV/atom

Geometry as POSCAR:
```
TaBNO2
1.0
3.9345 0.0000 0.0000
0.0000 3.9345 0.0000
0.0000 0.0000 4.1664
B N O Ta
1 1 2 1
direct
0.5000 0.5000 0.5000
0.0000 0.0000 0.5000
0.0000 0.5000 0.0000
0.5000 0.0000 0.0000
0.0000 0.0000 0.0000
```

***

# 3
The following is a PBE calculation of TaBNO2 after structural relaxation, from Alexandria via LeMat-Bulk.

Computed properties:
- ΔE_f (raw): -624 meV/atom
- Magnetization: 0.002 μB per atom
- SG: P4/mmm, No. 123
- Energy: -7.979 eV/atom

Geometry as POSCAR:
```
TaBNO2
1.0
-0.1915 2.7875 -1.5181
-3.0049 -0.6491 -0.8129
-1.2640 1.7129 3.3047
B N O Ta
1 1 2 1
direct
0.0000 0.0000 0.0000
0.0000 0.0000 0.5000
0.0000 0.5000 0.0000
0.5000 0.0000 0.0000
0.5000 0.5000 0.5000
```

***

# 4
The following is a PBE calculation of TiBN2O after structural relaxation, from Alexandria via LeMat-Bulk.

Computed properties:
- ΔE_f (raw): 889 meV/atom
- Magnetization: 0.541 μB per atom
- SG: P4/mmm, No. 123
- Energy: -6.347 eV/atom

Geometry as POSCAR:
```
TiBN2O
1.0
4.0427 0.0000 0.0000
0.0000 4.0427 0.0000
0.0000 0.0000 3.8039
B N O Ti
1 2 1 1
direct
0.5000 0.5000 0.5000
0.0000 0.5000 0.0000
0.5000 0.0000 0.0000
0.0000 0.0000 0.5000
0.0000 0.0000 0.0000
```

***

# 5
The following is a PBE calculation of TiBN2O after structural relaxation, from Alexandria via LeMat-Bulk.

Computed properties:
- ΔE_f (raw): -238 meV/atom
- Magnetization: 0.000 μB per atom
- SG: P4/mmm, No. 123
- Energy: -7.475 eV/atom

Geometry as POSCAR:
```
TiBN2O
1.0
3.1828 0.0000 0.0000
0.0000 3.1828 0.0000
0.0000 0.0000 3.7840
B N O Ti
1 2 1 1
direct
0.0000 0.0000 0.0000
0.0000 0.5000 0.0000
0.5000 0.0000 0.0000
0.0000 0.0000 0.5000
0.5000 0.5000 0.5000
```

***

# 6
The following is a PBE calculation of TiBNO2 after structural relaxation, from Alexandria via LeMat-Bulk.

Computed properties:
- ΔE_f (raw): 67 meV/atom
- Magnetization: 0.034 μB per atom
- SG: P4/mmm, No. 123
- Energy: -6.496 eV/atom

Geometry as POSCAR:
```
TiBNO2
1.0
3.7989 0.0000 0.0000
0.0000 3.7989 0.0000
0.0000 0.0000 4.0828
B N O Ti
1 1 2 1
direct
0.5000 0.5000 0.5000
0.0000 0.0000 0.5000
0.0000 0.5000 0.0000
0.5000 0.0000 0.0000
0.0000 0.0000 0.0000
```